A geometry-optimized Cs2KSn2S4 structure. Source: the Alexandria database, functional GGA-PBE.

Calculated values
Symmetry = C2/m
Total magnetization = 0.0 μB/cell
Electronic total energy = -3.862 eV/atom
ΔE_f (raw) = -79.7 kJ per mole of atoms

Structure (extended XYZ):
```
9
Lattice="8.3274 -2.6218 0.0000 8.3274 2.6218 0.0000 -2.0967 0.0000 7.3664" Properties=species:S:1:pos:R:3 pbc="T T T"
Cs 2.0513 0.0000 0.4059
Cs 12.5068 0.0000 6.9605
K -1.0484 0.0000 3.6832
Sn 4.4459 0.0000 3.5052
Sn 10.1122 0.0000 3.8612
S 2.0568 0.0000 4.6815
S 5.9873 0.0000 5.3990
S 8.5708 0.0000 1.9674
S 12.5013 0.0000 2.6849
```

A geometry-optimized ScIn3I6 structure. Source: the Alexandria database, functional GGA-PBE.

Calculated values
Symmetry = P2_1/c
Total magnetization = 0.0 μB/cell
Electronic total energy = -3.144 eV/atom
ΔE_f (raw) = -73.2 kJ per mole of atoms

Structure (extended XYZ):
```
20
Lattice="7.9402 0.0000 0.0000 0.0000 9.0138 0.0000 -6.8975 0.0000 11.6363" Properties=species:S:1:pos:R:3 pbc="T T T"
Sc 0.0000 0.0000 0.0000
Sc -3.4488 4.5069 5.8182
In -2.8480 0.8772 9.0151
In 0.6008 3.6297 3.1969
In 0.5213 0.0000 5.8182
In 3.9701 4.5069 0.0000
In 0.4418 5.3841 8.4394
In 3.8906 8.1366 2.6213
I -0.9105 0.5285 2.7048
I -4.3592 3.9784 8.5230
I 1.2776 6.5397 0.8933
I -2.1712 6.9810 6.7114
I 2.4544 1.4742 0.5261
I -0.9943 3.0327 6.3443
I 2.0370 5.9811 5.2921
I -1.4118 7.5396 11.1102
I 3.2138 2.0328 4.9249
I -0.2349 2.4741 10.7431
I 5.4019 5.0354 3.1134
I 1.9531 8.4853 8.9315
```